{
  "formula": "YCu2Sb2",
  "functional": "PBE",
  "state": "optimized geometry",
  "magnetic_moment_mub_per_atom": 0.0000,
  "dos_ef_per_ev_atom": 0.440,
  "final_energy_ev_per_cell": -46.843,
  "lattice": [[7.960, 0.000, 0.000], [0.000, 7.960, 0.000], [0.000, 0.000, 3.348]],
  "species": ["Sb", "Sb", "Sb", "Sb", "Cu", "Cu", "Cu", "Cu", "Y", "Y"],
  "frac_coords": [[0.848, 0.652, 0.000], [0.152, 0.348, 0.000], [0.652, 0.152, 0.000], [0.348, 0.848, 0.000], [0.360, 0.140, 0.500], [0.140, 0.640, 0.500], [0.860, 0.360, 0.500], [0.640, 0.860, 0.500], [0.000, 0.000, 0.000], [0.500, 0.500, 0.000]]
}

{
  "formula": "NaCa2Rh",
  "functional": "PBE",
  "state": "optimized geometry",
  "magnetic_moment_mub_per_atom": 0.0000,
  "dos_ef_per_ev_atom": 0.451,
  "final_energy_ev_per_cell": -13.109,
  "lattice": [[-3.132, 0.346, 2.657], [-2.773, -3.033, 0.323], [3.103, -4.840, 7.485]],
  "species": ["Na", "Rh", "Ca", "Ca"],
  "frac_coords": [[0.500, 0.500, 0.500], [0.000, 0.000, 0.000], [0.720, 0.720, 0.840], [0.280, 0.280, 0.160]]
}

{
  "formula": "ScPaN2",
  "functional": "PBE",
  "state": "optimized geometry",
  "magnetic_moment_mub_per_atom": 0.0000,
  "dos_ef_per_ev_atom": 0.427,
  "final_energy_ev_per_cell": -38.447,
  "lattice": [[-0.794, 2.351, -2.164], [-3.148, 0.464, -0.846], [-1.922, 4.720, 3.328]],
  "species": ["N", "N", "Pa", "Sc"],
  "frac_coords": [[0.076, 0.076, 0.771], [0.254, 0.254, 0.239], [0.498, 0.498, 0.507], [0.672, 0.672, 0.983]]
}

{
  "formula": "ZrH2I",
  "functional": "PBE",
  "state": "optimized geometry",
  "magnetic_moment_mub_per_atom": 0.0274,
  "dos_ef_per_ev_atom": 0.737,
  "de_polymorph_kj_per_mol_atoms": 69.1,
  "final_energy_ev_per_cell": -14.416,
  "lattice": [[0.000, 3.071, 3.071], [3.071, 0.000, 3.071], [3.071, 3.071, 0.000]],
  "species": ["Zr", "I", "H", "H"],
  "frac_coords": [[0.000, 0.000, 0.000], [0.500, 0.500, 0.500], [0.750, 0.750, 0.750], [0.250, 0.250, 0.250]]
}

{
  "formula": "AcLaPbI",
  "functional": "PBE",
  "state": "optimized geometry",
  "magnetic_moment_mub_per_atom": 0.0003,
  "dos_ef_per_ev_atom": 0.907,
  "final_energy_ev_per_cell": -17.333,
  "lattice": [[5.775, 0.000, 0.000], [2.888, 5.001, 0.000], [2.888, 1.667, 4.715]],
  "species": ["Ac", "La", "I", "Pb"],
  "frac_coords": [[0.250, 0.250, 0.250], [0.750, 0.750, 0.750], [0.000, 0.000, 0.000], [0.500, 0.500, 0.500]]
}

{
  "formula": "Cd2ReOs",
  "functional": "PBE",
  "state": "optimized geometry",
  "magnetic_moment_mub_per_atom": 0.0000,
  "dos_ef_per_ev_atom": 1.058,
  "de_polymorph_kj_per_mol_atoms": 49.3,
  "final_energy_ev_per_cell": -22.624,
  "lattice": [[2.949, 0.000, 0.000], [0.000, 4.698, 0.000], [0.000, 0.000, 4.927]],
  "species": ["Re", "Cd", "Cd", "Os"],
  "frac_coords": [[0.000, 0.500, 0.500], [0.500, 0.500, 0.000], [0.000, 0.000, 0.000], [0.500, 0.000, 0.500]]
}